Record 1
A relaxed structure of PmHoMgIn, computed with PBE.

Results
Crystal system: cubic

Cell: 7.587 7.587 7.587 Å, 90.00 90.00 90.00°
Space group F-43m (No. 216)
Asymmetric unit:
Pm 0.000 0.000 0.000
Ho 0.000 0.000 0.500
Mg 0.250 0.250 0.250
In 0.250 0.250 0.750



Record 2
A relaxed structure of PrHoMgIn, computed with PBE.

Results
Crystal system: cubic

Cell: 7.643 7.643 7.643 Å, 90.00 90.00 90.00°
Space group F-43m (No. 216)
Asymmetric unit:
Pr 0.000 0.000 0.000
Ho 0.000 0.000 0.500
Mg 0.250 0.250 0.750
In 0.250 0.250 0.250



Record 3
A relaxed structure of Pr2HoMg2In2, computed with PBE.

Results
Crystal system: trigonal

Cell: 5.0193 5.0193 27.0940 Å, 90.00 90.00 120.00°
Space group R-3m (No. 166, hexagonal axes)
Asymmetric unit:
Pr 0.0000 0.0000 0.1282
Ho 0.0000 0.0000 0.0000
Mg 0.0000 0.0000 0.3936
In 0.0000 0.0000 0.2669



Record 4
A relaxed structure of HoPuMgIn, computed with PBE.

Results
Crystal system: cubic

Cell: 7.539 7.539 7.539 Å, 90.00 90.00 90.00°
Space group F-43m (No. 216)
Asymmetric unit:
Ho 0.000 0.000 0.000
Pu 0.000 0.000 0.500
Mg 0.250 0.250 0.250
In 0.250 0.250 0.750



Record 5
A relaxed structure of HoMgInRh, computed with PBE.

Results
Crystal system: cubic

Cell: 6.909 6.909 6.909 Å, 90.00 90.00 90.00°
Space group F-43m (No. 216)
Asymmetric unit:
Ho 0.000 0.000 0.000
Mg 0.000 0.000 0.500
In 0.250 0.250 0.750
Rh 0.250 0.250 0.250



Record 6
A relaxed structure of Ho3MgIn3Ru2, computed with PBE.

Results
Crystal system: hexagonal

Cell: 7.8909 7.8909 3.6945 Å, 90.00 90.00 120.00°
Space group P-62m (No. 189)
Asymmetric unit:
Ho 0.0000 0.4058 0.0000
Mg 0.0000 0.0000 0.0000
In 0.0000 0.7188 0.5000
Ru 0.3333 0.6667 0.5000



Record 7
A relaxed structure of SmHoMgIn, computed with PBE.

Results
Crystal system: cubic

Cell: 7.569 7.569 7.569 Å, 90.00 90.00 90.00°
Space group F-43m (No. 216)
Asymmetric unit:
Sm 0.000 0.000 0.000
Ho 0.000 0.000 0.500
Mg 0.250 0.250 0.750
In 0.250 0.250 0.250



Record 8
A relaxed structure of HoMgInSn, computed with PBE.

Results
Energy above the lowest structure with this stoichiometry, meV/atom: 0.0
Crystal system: orthorhombic

Cell: 4.443 4.601 4.753 Å, 90.00 90.00 90.00°
Space group Pmmm (No. 47)
Asymmetric unit:
Ho 0.000 0.000 0.000
Mg 0.000 0.500 0.500
In 0.500 0.000 0.500
Sn 0.500 0.500 0.000



Record 9
A relaxed structure of HoMgInSn, computed with PBE.

Results
Energy above the lowest structure with this stoichiometry, meV/atom: 182.5
Crystal system: cubic

Cell: 7.400 7.400 7.400 Å, 90.00 90.00 90.00°
Space group F-43m (No. 216)
Asymmetric unit:
Ho 0.000 0.000 0.000
Mg 0.000 0.000 0.500
In 0.250 0.250 0.750
Sn 0.250 0.250 0.250



Record 10
A relaxed structure of HoMg2InSn, computed with PBE.

Results
Crystal system: orthorhombic

Cell: 3.495 17.554 8.864 Å, 90.00 90.00 90.00°
Space group Cmcm (No. 63)
Asymmetric unit:
Ho 0.000 0.088 0.250
Mg 0.000 0.335 0.052
In 0.000 0.500 0.000
Sn 0.000 0.257 0.750



Record 11
A relaxed structure of SrHoMgIn, computed with PBE.

Results
Crystal system: cubic

Cell: 7.822 7.822 7.822 Å, 90.00 90.00 90.00°
Space group F-43m (No. 216)
Asymmetric unit:
Sr 0.000 0.000 0.000
Ho 0.000 0.000 0.500
Mg 0.250 0.250 0.750
In 0.250 0.250 0.250



Record 12
A relaxed structure of Sr2HoMg2In5, computed with PBE.

Results
Crystal system: tetragonal

Cell: 11.087 11.087 4.525 Å, 90.00 90.00 90.00°
Space group P4/mbm (No. 127)
Asymmetric unit:
Sr 0.176 0.324 0.000
Ho 0.000 0.000 0.000
Mg 0.120 0.620 0.000
In 0.000 0.500 0.500
In 0.064 0.795 0.500



no.,energy of formation from the pure elements (meV/atom),M_tot (μB per atom)
1,-326,0.000
2,-321,0.000
3,-249,0.000
4,-118,1.569
5,-435,0.000
6,-315,0.000
7,-324,0.000
8,-443,0.000
9,-260,0.000
10,-194,0.000
11,-227,0.000
12,-301,0.000